Entry 1:
# Ga3AsI

Crystalline Ga3AsI at its relaxed geometry (PBE-GGA, Alexandria via LeMat-Bulk).

a b c (Å): 5.910 5.910 5.910
angles (deg): 90.00 90.00 90.00
Last column: magnetic moment on the atom in μB.
Positions (direct):
Ga1 0.000 0.000 0.500  -0.01
Ga2 0.500 0.000 0.000  -0.02
Ga3 0.000 0.500 0.000  -0.01
As1 0.500 0.500 0.500  0.50
I1 0.000 0.000 0.000  0.01

Output
uncorrected formation energy: 80.9 kJ/mol of atoms
D(E_F): 4.45 states/eV/cell
E_tot: -2.2179 eV/atom
symmetry: No. 221

Entry 2:
# GaAsI

Crystalline GaAsI at its relaxed geometry (PBE-GGA, Alexandria via LeMat-Bulk).

a b c (Å): 6.821 8.689 7.549
angles (deg): 103.79 90.00 90.00
Positions (direct):
I1 0.391 0.316 0.148
I2 0.891 0.684 0.352
I3 0.109 0.316 0.648
I4 0.609 0.684 0.852
As1 0.600 0.099 0.612
As2 0.400 0.901 0.388
As3 0.100 0.901 0.888
As4 0.900 0.099 0.112
Ga1 0.687 0.891 0.185
Ga2 0.313 0.109 0.815
Ga3 0.813 0.891 0.685
Ga4 0.187 0.109 0.315

Output
uncorrected formation energy: -28.5 kJ/mol of atoms
D(E_F): 0.00 states/eV/cell
E_tot: -3.3704 eV/atom
symmetry: No. 14

Entry 3:
# GaAs2I2

Crystalline GaAs2I2 at its relaxed geometry (PBE-GGA, Alexandria via LeMat-Bulk).

a b c (Å): 6.263 6.263 6.084
angles (deg): 59.02 59.02 90.00
Positions (direct):
Ga1 0.000 0.000 0.000
As1 0.635 0.635 0.731
As2 0.365 0.365 0.269
I1 0.250 0.750 0.500
I2 0.750 0.250 0.500

Output
uncorrected formation energy: 24.3 kJ/mol of atoms
D(E_F): 3.33 states/eV/cell
E_tot: -2.8332 eV/atom
symmetry: No. 139